A plane-wave DFT calculation with PBE was carried out for crystalline TiAl2ZnW at its relaxed geometry.

calculated formation energy: 4.8 eV/f.u.
spin magnetization: 0.0 μB/f.u.
ρ: 5.38 g/cm³

a b c (Å): 4.751 4.751 4.800
angles (deg): 90.00 90.00 90.00
Space group P4/mmm (No. 123)
Inequivalent atoms, fractional coordinates:
Ti1 0.000 0.000 0.000 x1
Al1 0.000 0.500 0.500 x2
Zn1 0.500 0.500 0.000 x1
W1 0.500 0.500 0.500 x1